No. 1
ScCr2ReBi: optimized geometry, PBE-GGA.

Computed properties:
Total magnetic moment, μB per formula unit: 7.076
E_tot, eV/atom: -6.6799
Theoretical density, g cm⁻³: 8.17

Cell: 4.8534 4.8534 4.6957 Å, 90.00 90.00 90.00°
Space group P4/mmm (No. 123)
Asymmetric unit:
Sc1 0.0000 0.0000 0.0000
Cr1 0.0000 0.5000 0.0000
Re1 0.0000 0.0000 0.5000
Bi1 0.5000 0.5000 0.5000

No. 2
Nb2HO: optimized geometry, PBE-GGA.

Computed properties:
Total magnetic moment, μB per formula unit: 0.000
Energy above the most stable polymorph in this dataset, meV/atom: 924
E_tot, eV/atom: -7.0973
Theoretical density, g cm⁻³: 7.49

Cell: 5.6437 5.6437 5.6437 Å, 90.00 90.00 90.00°
Space group Fm-3m (No. 225)
Asymmetric unit:
Nb1 0.2500 0.2500 0.2500
H1 0.0000 0.0000 0.0000
O1 0.0000 0.0000 0.5000

No. 3
SbW2Br: optimized geometry, PBE-GGA.

Computed properties:
Total magnetic moment, μB per formula unit: 2.525
Energy above the most stable polymorph in this dataset, meV/atom: 1583
ΔE_f (raw), meV per atom: 1784
E_tot, eV/atom: -6.1418
Theoretical density, g cm⁻³: 9.21

Cell: 6.1341 6.1341 10.9080 Å, 90.00 90.00 90.00°
Space group I-42d (No. 122)
Asymmetric unit:
Sb1 0.0000 0.0000 0.0000
W1 0.2199 0.2500 0.6250
Br1 0.0000 0.0000 0.5000

No. 4
AlBO: optimized geometry, PBE-GGA.

Computed properties:
Total magnetic moment, μB per formula unit: 0.000
ΔE_f (raw), meV per atom: -879
E_tot, eV/atom: -6.0052
Theoretical density, g cm⁻³: 3.12

Cell: 2.6382 4.2499 5.4686 Å, 74.14 76.37 89.99°
Space group P-1 (No. 2)
Asymmetric unit:
Al1 0.1173 0.2860 0.2703
B1 0.4078 0.1745 0.6758
O1 0.3153 0.3549 0.8650

No. 5
Tl2CrW: optimized geometry, PBE-GGA.

Computed properties:
Total magnetic moment, μB per formula unit: 3.935
Energy above the most stable polymorph in this dataset, meV/atom: 354
E_tot, eV/atom: -5.8723
Theoretical density, g cm⁻³: 13.40

Cell: 3.1412 3.1412 28.0422 Å, 90.00 90.00 120.00°
Space group R-3m (No. 166, hexagonal axes)
Asymmetric unit:
Tl1 0.0000 0.0000 0.2483
Cr1 0.0000 0.0000 0.5000
W1 0.0000 0.0000 0.0000

No. 6
KLi3P: optimized geometry, PBE-GGA.

Computed properties:
Total magnetic moment, μB per formula unit: 0.000
Energy above the most stable polymorph in this dataset, meV/atom: 1185
E_tot, eV/atom: -1.6071
Theoretical density, g cm⁻³: 1.23

Cell: 4.9634 4.9634 4.9634 Å, 90.00 90.00 90.00°
Space group Pm-3m (No. 221)
Asymmetric unit:
K1 0.0000 0.0000 0.0000
Li1 0.0000 0.0000 0.5000
P1 0.5000 0.5000 0.5000

Repeat the sixth record exactly.
KLi3P: optimized geometry, PBE-GGA.

Computed properties:
Total magnetic moment, μB per formula unit: 0.000
Energy above the most stable polymorph in this dataset, meV/atom: 1185
E_tot, eV/atom: -1.6071
Theoretical density, g cm⁻³: 1.23

Cell: 4.9634 4.9634 4.9634 Å, 90.00 90.00 90.00°
Space group Pm-3m (No. 221)
Asymmetric unit:
K1 0.0000 0.0000 0.0000
Li1 0.0000 0.0000 0.5000
P1 0.5000 0.5000 0.5000